[1]
Entry from Alexandria via LeMat-Bulk: CeHfC after structural relaxation (GGA-PBE).

The space group is P3m1 (No. 156) and the conventional cell measures 3.3537, 3.3537 and 6.0558 Å, with angles of 90.00, 90.00 and 120.00 degrees. The inequivalent atoms are Ce at (0.0000, 0.0000, 0.0000), Hf at (0.3333, 0.6667, 0.5511) and C at (0.6667, 0.3333, 0.7354).

The value obtained for the energy of formation from the pure elements is -92 kJ/mol of formula units. For the calculated volume, the calculation gives 19.7 Å³/atom. The value obtained for the final energy is -26.1 eV per cell. The value obtained for the relative energy among the computed polymorphs is 0 meV/atom.



[2]
Entry from Alexandria via LeMat-Bulk: CeHf2ReC4 after structural relaxation (GGA-PBE).

The space group is Cmcm (No. 63) and the conventional cell measures 3.328, 11.710 and 11.530 Å, with angles of 90.00, 90.00 and 90.00 degrees. The inequivalent atoms are Ce at (0.000, 0.097, 0.250), Hf at (0.000, 0.371, 0.039), Re at (0.000, 0.165, 0.750), C at (0.000, 0.000, 0.000), C at (0.000, 0.263, 0.616) and C at (0.000, 0.435, 0.250).

The value obtained for the energy of formation from the pure elements is -297 kJ/mol of formula units. For the calculated volume, the calculation gives 14.0 Å³/atom. The value obtained for the final energy is -313.0 eV per cell.



[3]
Entry from Alexandria via LeMat-Bulk: Ce3HgC after structural relaxation (GGA-PBE).

The space group is Pm-3m (No. 221) and the conventional cell measures 4.960, 4.960 and 4.960 Å, with angles of 90.00, 90.00 and 90.00 degrees. The inequivalent atoms are Ce at (0.000, 0.000, 0.500), Hg at (0.500, 0.500, 0.500) and C at (0.000, 0.000, 0.000).

The value obtained for the energy of formation from the pure elements is -112 kJ/mol of formula units. For the calculated volume, the calculation gives 24.4 Å³/atom. The value obtained for the final energy is -28.5 eV per cell.



[4]
Entry from Alexandria via LeMat-Bulk: CeHgC after structural relaxation (GGA-PBE).

The space group is P-1 (No. 2) and the conventional cell measures 3.737, 3.739 and 9.766 Å, with angles of 86.33, 86.19 and 84.95 degrees. The inequivalent atoms are Ce at (0.000, 0.000, 0.000), Ce at (0.000, 0.000, 0.500), Hg at (0.480, 0.481, 0.209) and C at (0.431, 0.431, 0.447).

The value obtained for the energy of formation from the pure elements is 12 kJ/mol of formula units. For the calculated volume, the calculation gives 22.6 Å³/atom. The value obtained for the final energy is -30.7 eV per cell. The value obtained for the relative energy among the computed polymorphs is 306 meV/atom.



[5]
Entry from Alexandria via LeMat-Bulk: Ce6HgC after structural relaxation (GGA-PBE).

The space group is P-1 (No. 2) and the conventional cell measures 5.869, 6.050 and 6.088 Å, with angles of 96.43, 105.11 and 105.25 degrees. The inequivalent atoms are Ce at (0.126, 0.169, 0.219), Ce at (0.254, 0.426, 0.770), Ce at (0.255, 0.760, 0.379), Hg at (0.500, 0.000, 0.000) and C at (0.500, 0.500, 0.500).

The value obtained for the energy of formation from the pure elements is -53 kJ/mol of formula units. For the calculated volume, the calculation gives 24.7 Å³/atom. The value obtained for the final energy is -45.7 eV per cell.



[6]
Entry from Alexandria via LeMat-Bulk: Ce4Hg2C after structural relaxation (GGA-PBE).

The space group is I4/mmm (No. 139) and the conventional cell measures 5.003, 5.003 and 15.263 Å, with angles of 90.00, 90.00 and 90.00 degrees. The inequivalent atoms are Ce at (0.000, 0.000, 0.164), Ce at (0.000, 0.500, 0.000), Hg at (0.000, 0.000, 0.366) and C at (0.000, 0.000, 0.000).

The value obtained for the energy of formation from the pure elements is -135 kJ/mol of formula units. For the calculated volume, the calculation gives 27.3 Å³/atom. The value obtained for the final energy is -69.9 eV per cell. The value obtained for the relative energy among the computed polymorphs is 0 meV/atom.



[7]
Entry from Alexandria via LeMat-Bulk: Ce4Hg2C after structural relaxation (GGA-PBE).

The space group is P2/m (No. 10) and the conventional cell measures 6.167, 3.514 and 8.438 Å, with angles of 90.00, 103.38 and 90.00 degrees. The inequivalent atoms are Ce at (0.143, 0.000, 0.308), Ce at (0.267, 0.500, 0.979), Hg at (0.368, 0.500, 0.636) and C at (0.000, 0.000, 0.000).

The value obtained for the energy of formation from the pure elements is -102 kJ/mol of formula units. For the calculated volume, the calculation gives 25.4 Å³/atom. The value obtained for the final energy is -34.6 eV per cell. The value obtained for the relative energy among the computed polymorphs is 49 meV/atom.



[8]
Entry from Alexandria via LeMat-Bulk: Ce2HgC after structural relaxation (GGA-PBE).

The space group is R3m (No. 160, hexagonal axes) and the conventional cell measures 3.5684, 3.5684 and 24.8320 Å, with angles of 90.00, 90.00 and 120.00 degrees. The inequivalent atoms are Ce at (0.0000, 0.0000, 0.0000), Ce at (0.0000, 0.0000, 0.2178), Hg at (0.0000, 0.0000, 0.7746) and C at (0.0000, 0.0000, 0.6089).

The value obtained for the energy of formation from the pure elements is -103 kJ/mol of formula units. For the calculated volume, the calculation gives 22.8 Å³/atom. The value obtained for the final energy is -67.4 eV per cell.



Copy entry 5 word for word.
Entry from Alexandria via LeMat-Bulk: Ce6HgC after structural relaxation (GGA-PBE).

The space group is P-1 (No. 2) and the conventional cell measures 5.869, 6.050 and 6.088 Å, with angles of 96.43, 105.11 and 105.25 degrees. The inequivalent atoms are Ce at (0.126, 0.169, 0.219), Ce at (0.254, 0.426, 0.770), Ce at (0.255, 0.760, 0.379), Hg at (0.500, 0.000, 0.000) and C at (0.500, 0.500, 0.500).

The value obtained for the energy of formation from the pure elements is -53 kJ/mol of formula units. For the calculated volume, the calculation gives 24.7 Å³/atom. The value obtained for the final energy is -45.7 eV per cell.



Q: Among the records above, which one has the lowest final energy?
A: CeHf2ReC4



Q: Look up the calculated volume of the third one.
A: 24.4 Å³/atom



Please write out number 2 again, unchanged.
Entry from Alexandria via LeMat-Bulk: CeHf2ReC4 after structural relaxation (GGA-PBE).

The space group is Cmcm (No. 63) and the conventional cell measures 3.328, 11.710 and 11.530 Å, with angles of 90.00, 90.00 and 90.00 degrees. The inequivalent atoms are Ce at (0.000, 0.097, 0.250), Hf at (0.000, 0.371, 0.039), Re at (0.000, 0.165, 0.750), C at (0.000, 0.000, 0.000), C at (0.000, 0.263, 0.616) and C at (0.000, 0.435, 0.250).

The value obtained for the energy of formation from the pure elements is -297 kJ/mol of formula units. For the calculated volume, the calculation gives 14.0 Å³/atom. The value obtained for the final energy is -313.0 eV per cell.